The following is a PBEsol calculation of crystalline TcNi8 at its relaxed geometry, from the Alexandria database.

DOS at the Fermi energy: 14.18 states/eV/cell
symmetry: I4/mmm
ρ: 9.80 g/cm³
DFT total energy: -0.24719 hartree per atom
calculated formation energy: -0.001 eV/atom

```
TcNi8
1.0
-3.698 3.698 1.759
3.698 -3.698 1.759
3.698 3.698 -1.759
Tc Ni
1 8
direct
0.000 0.000 0.000
0.000 0.333 0.333
0.000 0.667 0.667
0.333 0.000 0.333
0.334 0.334 0.668
0.334 0.666 0.000
0.666 0.334 0.000
0.666 0.666 0.332
0.667 0.000 0.667
```

=====

The following is a PBEsol calculation of crystalline RuPbAu2 at its relaxed geometry, from the Alexandria database.

DOS at the Fermi energy: 2.90 states/eV/cell
symmetry: Immm
ρ: 15.82 g/cm³
DFT total energy: -0.18951 hartree per atom
calculated formation energy: 0.348 eV/atom

```
RuPbAu2
1.0
-1.516 2.265 5.366
1.516 -2.265 5.366
1.516 2.265 -5.366
Ru Pb Au
1 1 2
direct
0.000 0.000 0.000
0.500 0.500 0.000
0.218 0.718 0.500
0.782 0.282 0.500
```

=====

The following is a PBEsol calculation of crystalline Zr2BeAg at its relaxed geometry, from the Alexandria database.

DOS at the Fermi energy: 2.50 states/eV/cell
symmetry: P4/mmm
ρ: 7.25 g/cm³
DFT total energy: -0.23700 hartree per atom
calculated formation energy: -0.076 eV/atom

```
Zr2BeAg
1.0
3.011 0.000 0.000
0.000 3.011 0.000
0.000 0.000 7.563
Zr Be Ag
2 1 1
direct
0.000 0.000 0.221
0.000 0.000 0.779
0.500 0.500 0.000
0.500 0.500 0.500
```

=====

The following is a PBEsol calculation of crystalline Lu3SnC at its relaxed geometry, from the Alexandria database.

DOS at the Fermi energy: 1.91 states/eV/cell
symmetry: Pm-3m
ρ: 10.53 g/cm³
DFT total energy: -0.23648 hartree per atom
calculated formation energy: -0.731 eV/atom

```
Lu3SnC
1.0
4.694 0.000 0.000
0.000 4.694 0.000
0.000 0.000 4.694
Lu Sn C
3 1 1
direct
0.000 0.000 0.500
0.000 0.500 0.000
0.500 0.000 0.000
0.500 0.500 0.500
0.000 0.000 0.000
```

=====

The following is a PBEsol calculation of crystalline Fe2Ir at its relaxed geometry, from the Alexandria database.

DOS at the Fermi energy: 7.20 states/eV/cell
symmetry: Cm
ρ: 14.68 g/cm³
DFT total energy: -0.34004 hartree per atom
calculated formation energy: -0.003 eV/atom

```
Fe2Ir
1.0
4.583 -1.292 0.000
4.583 1.292 0.000
-1.367 0.000 5.804
Fe Ir
4 2
direct
0.000 0.000 0.000
0.059 0.059 0.618
0.339 0.339 0.674
0.671 0.671 0.350
0.397 0.397 0.292
0.719 0.719 0.943
```

=====

The following is a PBEsol calculation of crystalline SbAs4Rh at its relaxed geometry, from the Alexandria database.

DOS at the Fermi energy: 4.70 states/eV/cell
symmetry: F-43m
ρ: 7.60 g/cm³
DFT total energy: -0.18034 hartree per atom
E_form (uncorrected): 0.61 eV per atom

```
SbAs4Rh
1.0
0.000 3.855 3.855
3.855 0.000 3.855
3.855 3.855 0.000
Sb As Rh
1 4 1
direct
0.000 0.000 0.000
0.126 0.625 0.625
0.625 0.126 0.625
0.625 0.625 0.126
0.625 0.625 0.625
0.250 0.250 0.250
```

=====

The following is a PBEsol calculation of crystalline Ca2LaP at its relaxed geometry, from the Alexandria database.

DOS at the Fermi energy: 3.69 states/eV/cell
symmetry: R3m
ρ: 2.97 g/cm³
DFT total energy: -0.16488 hartree per atom
calculated formation energy: -0.635 eV/atom

```
Ca2LaP
1.0
2.014 1.163 9.967
-2.014 1.163 9.967
0.000 -2.325 9.967
Ca La P
2 1 1
direct
0.000 0.000 0.000
0.221 0.221 0.221
0.779 0.779 0.779
0.500 0.500 0.500
```

=====

The following is a PBEsol calculation of crystalline RbLi2Mo at its relaxed geometry, from the Alexandria database.

DOS at the Fermi energy: 5.28 states/eV/cell
symmetry: I-42d
ρ: 2.75 g/cm³
DFT total energy: -0.10364 hartree per atom
calculated formation energy: 1.361 eV/atom

```
RbLi2Mo
1.0
-4.147 4.147 3.431
4.147 -4.147 3.431
4.147 4.147 -3.431
Rb Li Mo
2 4 2
direct
0.000 0.000 0.000
0.750 0.250 0.500
0.169 0.125 0.544
0.375 0.831 0.956
0.581 0.625 0.456
0.875 0.419 0.044
0.250 0.750 0.500
0.500 0.500 0.000
```